Entry 1:
The following is a DFT calculation (PBE) of an optimized crystal structure of HfNb2Mo.

For the energy above the most stable polymorph in this dataset, the calculation gives 0.0 kJ/mol of atoms. For the total energy, the calculation gives -82.49 eV for the cell shown. The energy of formation is -1.8 kcal/mol of atoms.

The space group is Immm (No. 71) and the conventional cell measures 3.304, 4.729 and 9.419 Å, with angles of 90.00, 90.00 and 90.00 degrees. The inequivalent atoms are Hf at (0.000, 0.000, 0.000), Nb at (0.000, 0.500, 0.234) and Mo at (0.000, 0.000, 0.500).

Entry 2:
The following is a DFT calculation (PBE) of an optimized crystal structure of HfNb2Mo.

For the energy above the most stable polymorph in this dataset, the calculation gives 58.2 kJ/mol of atoms. For the total energy, the calculation gives -155.32 eV for the cell shown. The energy of formation is 12.1 kcal/mol of atoms.

The space group is I-42d (No. 122) and the conventional cell measures 7.433, 7.433 and 5.693 Å, with angles of 90.00, 90.00 and 90.00 degrees. The inequivalent atoms are Hf at (0.000, 0.000, 0.000), Nb at (0.221, 0.250, 0.625) and Mo at (0.000, 0.000, 0.500).

Entry 3:
The following is a DFT calculation (PBE) of an optimized crystal structure of Hf2NbMo2.

For the total energy, the calculation gives -101.11 eV for the cell shown. The energy of formation is 5.0 kcal/mol of atoms.

The space group is P4/mbm (No. 127) and the conventional cell measures 6.638, 6.638 and 4.483 Å, with angles of 90.00, 90.00 and 90.00 degrees. The inequivalent atoms are Hf at (0.174, 0.326, 0.000), Nb at (0.000, 0.000, 0.500) and Mo at (0.135, 0.635, 0.500).

Entry 4:
The following is a DFT calculation (PBE) of an optimized crystal structure of HfNb2Mo.

For the energy above the most stable polymorph in this dataset, the calculation gives 11.6 kJ/mol of atoms. For the total energy, the calculation gives -40.76 eV for the cell shown. The energy of formation is 0.9 kcal/mol of atoms.

The space group is P4/mmm (No. 123) and the conventional cell measures 4.687, 4.687 and 3.326 Å, with angles of 90.00, 90.00 and 90.00 degrees. The inequivalent atoms are Hf at (0.000, 0.000, 0.000), Nb at (0.000, 0.500, 0.500) and Mo at (0.500, 0.500, 0.000).

Entry 5:
The following is a DFT calculation (PBE) of an optimized crystal structure of HfNb5Mo6.

For the total energy, the calculation gives -253.33 eV for the cell shown. The energy of formation is -2.6 kcal/mol of atoms.

The space group is Immm (No. 71) and the conventional cell measures 4.607, 6.490 and 13.724 Å, with angles of 90.00, 90.00 and 90.00 degrees. The inequivalent atoms are Hf at (0.000, 0.000, 0.000), Nb at (0.000, 0.000, 0.333), Nb at (0.000, 0.500, 0.000), Nb at (0.000, 0.500, 0.334), Mo at (0.000, 0.245, 0.500) and Mo at (0.000, 0.252, 0.169).

Entry 6:
The following is a DFT calculation (PBE) of an optimized crystal structure of HfNb2Mo.

For the energy above the most stable polymorph in this dataset, the calculation gives 7.8 kJ/mol of atoms. For the total energy, the calculation gives -163.68 eV for the cell shown. The energy of formation is 0.0 kcal/mol of atoms.

The space group is F-43m (No. 216) and the conventional cell measures 6.628, 6.628 and 6.628 Å, with angles of 90.00, 90.00 and 90.00 degrees. The inequivalent atoms are Hf at (0.000, 0.000, 0.000), Nb at (0.000, 0.000, 0.500), Nb at (0.250, 0.250, 0.250) and Mo at (0.250, 0.250, 0.750).

Entry 7:
The following is a DFT calculation (PBE) of an optimized crystal structure of HfNb3Mo2.

For the energy above the most stable polymorph in this dataset, the calculation gives 21.3 kJ/mol of atoms. For the total energy, the calculation gives -243.88 eV for the cell shown. The energy of formation is 3.3 kcal/mol of atoms.

The space group is C2/m (No. 12) and the conventional cell measures 13.929, 4.679 and 7.448 Å, with angles of 90.00, 113.47 and 90.00 degrees. The inequivalent atoms are Hf at (0.132, 0.000, 0.190), Nb at (0.058, 0.000, 0.712), Nb at (0.121, 0.500, 0.540), Nb at (0.194, 0.500, 0.952), Mo at (0.014, 0.500, 0.173) and Mo at (0.241, 0.000, 0.654).

Entry 8:
The following is a DFT calculation (PBE) of an optimized crystal structure of HfNb3Mo.

For the energy above the most stable polymorph in this dataset, the calculation gives 1.9 kJ/mol of atoms. For the total energy, the calculation gives -45.67 eV for the cell shown. The energy of formation is 24.5 kcal/mol of atoms.

The space group is Pm-3m (No. 221) and the conventional cell measures 4.823, 4.823 and 4.823 Å, with angles of 90.00, 90.00 and 90.00 degrees. The inequivalent atoms are Hf at (0.000, 0.000, 0.000), Nb at (0.000, 0.500, 0.500) and Mo at (0.500, 0.500, 0.500).

Entry 9:
The following is a DFT calculation (PBE) of an optimized crystal structure of HfNb2Mo.

For the energy above the most stable polymorph in this dataset, the calculation gives 9.3 kJ/mol of atoms. For the total energy, the calculation gives -163.44 eV for the cell shown. The energy of formation is 0.4 kcal/mol of atoms.

The space group is Fm-3m (No. 225) and the conventional cell measures 6.624, 6.624 and 6.624 Å, with angles of 90.00, 90.00 and 90.00 degrees. The inequivalent atoms are Hf at (0.000, 0.000, 0.000), Nb at (0.250, 0.250, 0.250) and Mo at (0.000, 0.000, 0.500).

Entry 10:
The following is a DFT calculation (PBE) of an optimized crystal structure of HfNb2Mo.

For the energy above the most stable polymorph in this dataset, the calculation gives 27.4 kJ/mol of atoms. For the total energy, the calculation gives -120.32 eV for the cell shown. The energy of formation is 4.7 kcal/mol of atoms.

The space group is R-3m (No. 166, hexagonal axes) and the conventional cell measures 3.1417, 3.1417 and 26.6716 Å, with angles of 90.00, 90.00 and 120.00 degrees. The inequivalent atoms are Hf at (0.0000, 0.0000, 0.0000), Nb at (0.0000, 0.0000, 0.2419) and Mo at (0.0000, 0.0000, 0.5000).

Entry 11:
The following is a DFT calculation (PBE) of an optimized crystal structure of Hf2NbMo.

For the energy above the most stable polymorph in this dataset, the calculation gives 0.0 kJ/mol of atoms. For the total energy, the calculation gives -40.65 eV for the cell shown. The energy of formation is 0.9 kcal/mol of atoms.

The space group is P4/mmm (No. 123) and the conventional cell measures 3.312, 3.312 and 7.005 Å, with angles of 90.00, 90.00 and 90.00 degrees. The inequivalent atoms are Hf at (0.000, 0.000, 0.232), Nb at (0.500, 0.500, 0.500) and Mo at (0.500, 0.500, 0.000).

Entry 12:
The following is a DFT calculation (PBE) of an optimized crystal structure of HfNbMoOs.

For the energy above the most stable polymorph in this dataset, the calculation gives 0.0 kJ/mol of atoms. For the total energy, the calculation gives -173.84 eV for the cell shown. The energy of formation is -7.9 kcal/mol of atoms.

The space group is F-43m (No. 216) and the conventional cell measures 6.480, 6.480 and 6.480 Å, with angles of 90.00, 90.00 and 90.00 degrees. The inequivalent atoms are Hf at (0.000, 0.000, 0.000), Nb at (0.000, 0.000, 0.500), Mo at (0.250, 0.250, 0.750) and Os at (0.250, 0.250, 0.250).

Entry 13:
The following is a DFT calculation (PBE) of an optimized crystal structure of HfNbMoOs.

For the energy above the most stable polymorph in this dataset, the calculation gives 3.3 kJ/mol of atoms. For the total energy, the calculation gives -43.32 eV for the cell shown. The energy of formation is -7.2 kcal/mol of atoms.

The space group is P4mm (No. 99) and the conventional cell measures 3.236, 3.236 and 6.543 Å, with angles of 90.00, 90.00 and 90.00 degrees. The inequivalent atoms are Hf at (0.000, 0.000, 0.000), Nb at (0.000, 0.000, 0.499), Mo at (0.500, 0.500, 0.740) and Os at (0.500, 0.500, 0.254).

Entry 14:
The following is a DFT calculation (PBE) of an optimized crystal structure of Hf2NbMoPb.

For the total energy, the calculation gives -37.27 eV for the cell shown. The energy of formation is 33.4 kcal/mol of atoms.

The space group is P4/mmm (No. 123) and the conventional cell measures 5.020, 5.020 and 5.353 Å, with angles of 90.00, 90.00 and 90.00 degrees. The inequivalent atoms are Hf at (0.000, 0.500, 0.000), Nb at (0.000, 0.000, 0.000), Mo at (0.500, 0.500, 0.500) and Pb at (0.000, 0.000, 0.500).

Entry 15:
The following is a DFT calculation (PBE) of an optimized crystal structure of HfNbMoPd2.

For the total energy, the calculation gives -36.52 eV for the cell shown. The energy of formation is 21.8 kcal/mol of atoms.

The space group is P4/mmm (No. 123) and the conventional cell measures 4.804, 4.804 and 4.668 Å, with angles of 90.00, 90.00 and 90.00 degrees. The inequivalent atoms are Hf at (0.000, 0.000, 0.000), Nb at (0.500, 0.500, 0.000), Mo at (0.500, 0.500, 0.500) and Pd at (0.000, 0.500, 0.500).

Entry 16:
The following is a DFT calculation (PBE) of an optimized crystal structure of HfNbMoPt.

For the total energy, the calculation gives -154.59 eV for the cell shown. The energy of formation is -10.1 kcal/mol of atoms.

The space group is F-43m (No. 216) and the conventional cell measures 6.538, 6.538 and 6.538 Å, with angles of 90.00, 90.00 and 90.00 degrees. The inequivalent atoms are Hf at (0.000, 0.000, 0.000), Nb at (0.000, 0.000, 0.500), Mo at (0.250, 0.250, 0.750) and Pt at (0.250, 0.250, 0.250).

Entry 17:
The following is a DFT calculation (PBE) of an optimized crystal structure of HfNbMo2Pt.

For the total energy, the calculation gives -39.82 eV for the cell shown. The energy of formation is 36.4 kcal/mol of atoms.

The space group is P4/mmm (No. 123) and the conventional cell measures 4.746, 4.746 and 4.767 Å, with angles of 90.00, 90.00 and 90.00 degrees. The inequivalent atoms are Hf at (0.000, 0.000, 0.000), Nb at (0.500, 0.500, 0.500), Mo at (0.000, 0.500, 0.000) and Pt at (0.000, 0.000, 0.500).

Entry 18:
The following is a DFT calculation (PBE) of an optimized crystal structure of RbHfNbMo2.

For the total energy, the calculation gives -34.19 eV for the cell shown. The energy of formation is 39.0 kcal/mol of atoms.

The space group is P4/mmm (No. 123) and the conventional cell measures 4.952, 4.952 and 5.308 Å, with angles of 90.00, 90.00 and 90.00 degrees. The inequivalent atoms are Rb at (0.000, 0.000, 0.000), Hf at (0.500, 0.500, 0.000), Nb at (0.500, 0.500, 0.500) and Mo at (0.000, 0.500, 0.500).

Entry 19:
The following is a DFT calculation (PBE) of an optimized crystal structure of HfNbReMo.

For the total energy, the calculation gives -176.67 eV for the cell shown. The energy of formation is -5.0 kcal/mol of atoms.

The space group is F-43m (No. 216) and the conventional cell measures 6.507, 6.507 and 6.507 Å, with angles of 90.00, 90.00 and 90.00 degrees. The inequivalent atoms are Hf at (0.000, 0.000, 0.000), Nb at (0.000, 0.000, 0.500), Re at (0.250, 0.250, 0.250) and Mo at (0.250, 0.250, 0.750).

Entry 20:
The following is a DFT calculation (PBE) of an optimized crystal structure of HfNbReMo.

For the total energy, the calculation gives -44.16 eV for the cell shown. The energy of formation is -5.0 kcal/mol of atoms.

The space group is P4mm (No. 99) and the conventional cell measures 3.245, 3.245 and 6.554 Å, with angles of 90.00, 90.00 and 90.00 degrees. The inequivalent atoms are Hf at (0.000, 0.000, 0.000), Nb at (0.000, 0.000, 0.494), Re at (0.500, 0.500, 0.256) and Mo at (0.500, 0.500, 0.739).

| no. | total magnetization (μB/f.u.) |
| --- | --- |
| 1 | 0.00 |
| 2 | 0.00 |
| 3 | 0.00 |
| 4 | 0.00 |
| 5 | 0.00 |
| 6 | 0.00 |
| 7 | 0.00 |
| 8 | 0.00 |
| 9 | 0.00 |
| 10 | 0.00 |
| 11 | 0.00 |
| 12 | 0.00 |
| 13 | 0.00 |
| 14 | 3.48 |
| 15 | 0.00 |
| 16 | 0.00 |
| 17 | 0.00 |
| 18 | 1.21 |
| 19 | 0.00 |
| 20 | 0.00 |